[1]
# La3PaGe6 PBE-GGA relaxed
data_La3PaGe6
_chemical_formula_sum 'La18 Pa6 Ge36'
_cell_length_a 11.9964
_cell_length_b 11.9964
_cell_length_c 11.8695
_cell_angle_alpha 90.00
_cell_angle_beta 90.00
_cell_angle_gamma 120.00
_space_group_name_H-M_alt 'R -3 c'
_space_group_IT_number 167
_space_group_name_Hall '-R 3 2"c'
loop_
_atom_site_label
_atom_site_fract_x
_atom_site_fract_y
_atom_site_fract_z
La1 0.0000 0.4340 0.2500
Pa1 0.0000 0.0000 0.0000
Ge1 0.0708 0.2164 0.3408
# E = -58.0 eV/f.u.
# Energy of formation = -0.598 eV/atom
# M_tot = 0.0 μB/f.u.

=====

[2]
# LaPaGe2 PBE-GGA relaxed
data_LaPaGe2
_chemical_formula_sum 'La3 Pa3 Ge6'
_cell_length_a 4.2731
_cell_length_b 4.2731
_cell_length_c 20.9848
_cell_angle_alpha 90.00
_cell_angle_beta 90.00
_cell_angle_gamma 120.00
_space_group_name_H-M_alt 'R -3 m'
_space_group_IT_number 166
_space_group_name_Hall '-R 3 2"'
loop_
_atom_site_label
_atom_site_fract_x
_atom_site_fract_y
_atom_site_fract_z
La1 0.0000 0.0000 0.0000
Pa1 0.0000 0.0000 0.5000
Ge1 0.0000 0.0000 0.2413
# E = -26.1 eV/f.u.
# Energy of formation = -0.604 eV/atom
# M_tot = 0.0 μB/f.u.

=====

[3]
# LaPaGe2 PBE-GGA relaxed
data_LaPaGe2
_chemical_formula_sum 'La1 Pa1 Ge2'
_cell_length_a 3.3930
_cell_length_b 3.3930
_cell_length_c 8.1832
_cell_angle_alpha 90.00
_cell_angle_beta 90.00
_cell_angle_gamma 90.00
_space_group_name_H-M_alt 'P 4/m m m'
_space_group_IT_number 123
_space_group_name_Hall '-P 4 2'
loop_
_atom_site_label
_atom_site_fract_x
_atom_site_fract_y
_atom_site_fract_z
La1 0.0000 0.0000 0.0000
Pa1 0.0000 0.0000 0.5000
Ge1 0.5000 0.5000 0.2623
# E = -25.7 eV/f.u.
# Energy of formation = -0.508 eV/atom
# M_tot = 0.0 μB/f.u.

=====

[4]
# La5PaGe4 PBE-GGA relaxed
data_La5PaGe4
_chemical_formula_sum 'La10 Pa2 Ge8'
_cell_length_a 18.7886
_cell_length_b 4.3116
_cell_length_c 8.4399
_cell_angle_alpha 90.00
_cell_angle_beta 104.78
_cell_angle_gamma 90.00
_space_group_name_H-M_alt 'C 1 2/m 1'
_space_group_IT_number 12
loop_
_space_group_symop_operation_xyz
'x,y,z'
'-x,-y,-z'
'-x,y,-z'
'x,-y,z'
'x+1/2,y+1/2,z'
'-x+1/2,-y+1/2,-z'
'-x+1/2,y+1/2,-z'
'x+1/2,-y+1/2,z'
loop_
_atom_site_label
_atom_site_fract_x
_atom_site_fract_y
_atom_site_fract_z
La1 0.0000 0.0000 0.0000
La2 0.1651 0.5000 0.8365
La3 0.1668 0.5000 0.3401
Pa1 0.0000 0.0000 0.5000
Ge1 0.0009 0.5000 0.7381
Ge2 0.1634 0.0000 0.5912
# E = -57.8 eV/f.u.
# Energy of formation = -0.516 eV/atom
# M_tot = 2.3 μB/f.u.

=====

[5]
# La2PaGe3Pd4 PBE-GGA relaxed
data_La2PaGe3Pd4
_chemical_formula_sum 'La2 Pa1 Ge3 Pd4'
_cell_length_a 4.3681
_cell_length_b 4.3681
_cell_length_c 11.1349
_cell_angle_alpha 90.00
_cell_angle_beta 90.00
_cell_angle_gamma 90.00
_space_group_name_H-M_alt 'P -4 m 2'
_space_group_IT_number 115
loop_
_space_group_symop_operation_xyz
'x,y,z'
'y,-x,-z'
'-x,-y,z'
'-y,x,-z'
'-x,y,z'
'-y,-x,-z'
'x,-y,z'
'y,x,-z'
loop_
_atom_site_label
_atom_site_fract_x
_atom_site_fract_y
_atom_site_fract_z
La1 0.0000 0.5000 0.2259
Pa1 0.0000 0.0000 0.5000
Ge1 0.0000 0.5000 0.8804
Ge2 0.5000 0.5000 0.5000
Pd1 0.0000 0.0000 0.0000
Pd2 0.0000 0.5000 0.6561
Pd3 0.5000 0.5000 0.0000
# E = -61.7 eV/f.u.
# Energy of formation = -0.775 eV/atom
# M_tot = 0.0 μB/f.u.

=====

[6]
# La2PaGe4Pt3 PBE-GGA relaxed
data_La2PaGe4Pt3
_chemical_formula_sum 'La2 Pa1 Ge4 Pt3'
_cell_length_a 4.3753
_cell_length_b 4.3753
_cell_length_c 11.3213
_cell_angle_alpha 90.00
_cell_angle_beta 90.00
_cell_angle_gamma 90.00
_space_group_name_H-M_alt 'P -4 m 2'
_space_group_IT_number 115
loop_
_space_group_symop_operation_xyz
'x,y,z'
'y,-x,-z'
'-x,-y,z'
'-y,x,-z'
'-x,y,z'
'-y,-x,-z'
'x,-y,z'
'y,x,-z'
loop_
_atom_site_label
_atom_site_fract_x
_atom_site_fract_y
_atom_site_fract_z
La1 0.0000 0.5000 0.2261
Pa1 0.0000 0.0000 0.5000
Ge1 0.0000 0.0000 0.0000
Ge2 0.0000 0.5000 0.6645
Ge3 0.5000 0.5000 0.0000
Pt1 0.0000 0.5000 0.8859
Pt2 0.5000 0.5000 0.5000
# E = -64.4 eV/f.u.
# Energy of formation = -0.841 eV/atom
# M_tot = 0.2 μB/f.u.

=====

[7]
# La2PaGe3Pt4 PBE-GGA relaxed
data_La2PaGe3Pt4
_chemical_formula_sum 'La2 Pa1 Ge3 Pt4'
_cell_length_a 4.3920
_cell_length_b 4.3920
_cell_length_c 11.0821
_cell_angle_alpha 90.00
_cell_angle_beta 90.00
_cell_angle_gamma 90.00
_space_group_name_H-M_alt 'P -4 m 2'
_space_group_IT_number 115
loop_
_space_group_symop_operation_xyz
'x,y,z'
'y,-x,-z'
'-x,-y,z'
'-y,x,-z'
'-x,y,z'
'-y,-x,-z'
'x,-y,z'
'y,x,-z'
loop_
_atom_site_label
_atom_site_fract_x
_atom_site_fract_y
_atom_site_fract_z
La1 0.0000 0.5000 0.2253
Pa1 0.0000 0.0000 0.5000
Ge1 0.0000 0.5000 0.8807
Ge2 0.5000 0.5000 0.5000
Pt1 0.0000 0.0000 0.0000
Pt2 0.0000 0.5000 0.6557
Pt3 0.5000 0.5000 0.0000
# E = -66.6 eV/f.u.
# Energy of formation = -0.927 eV/atom
# M_tot = 0.0 μB/f.u.

=====

[8]
# LaPuPaGe PBE-GGA relaxed
data_LaPuPaGe
_chemical_formula_sum 'La4 Pu4 Pa4 Ge4'
_cell_length_a 7.3423
_cell_length_b 7.3423
_cell_length_c 7.3423
_cell_angle_alpha 90.00
_cell_angle_beta 90.00
_cell_angle_gamma 90.00
_space_group_name_H-M_alt 'F -4 3 m'
_space_group_IT_number 216
_space_group_name_Hall 'F -4 2 3'
loop_
_atom_site_label
_atom_site_fract_x
_atom_site_fract_y
_atom_site_fract_z
La1 0.0000 0.0000 0.0000
Pu1 0.0000 0.0000 0.5000
Pa1 0.2500 0.2500 0.7500
Ge1 0.2500 0.2500 0.2500
# E = -33.2 eV/f.u.
# Energy of formation = 0.033 eV/atom
# M_tot = 7.1 μB/f.u.

=====

[9]
# LaPaZnGe PBE-GGA relaxed
data_LaPaZnGe
_chemical_formula_sum 'La4 Pa4 Zn4 Ge4'
_cell_length_a 7.2792
_cell_length_b 7.2792
_cell_length_c 7.2792
_cell_angle_alpha 90.00
_cell_angle_beta 90.00
_cell_angle_gamma 90.00
_space_group_name_H-M_alt 'F -4 3 m'
_space_group_IT_number 216
_space_group_name_Hall 'F -4 2 3'
loop_
_atom_site_label
_atom_site_fract_x
_atom_site_fract_y
_atom_site_fract_z
La1 0.0000 0.0000 0.0000
Pa1 0.0000 0.0000 0.5000
Zn1 0.2500 0.2500 0.7500
Ge1 0.2500 0.2500 0.2500
# E = -21.1 eV/f.u.
# Energy of formation = -0.197 eV/atom
# M_tot = 1.4 μB/f.u.

=====

[10]
# LaGe2Pb PBE-GGA relaxed
data_LaGe2Pb
_chemical_formula_sum 'La4 Ge8 Pb4'
_cell_length_a 8.1340
_cell_length_b 8.1340
_cell_length_c 6.6024
_cell_angle_alpha 90.00
_cell_angle_beta 90.00
_cell_angle_gamma 90.00
_space_group_name_H-M_alt 'I -4 2 d'
_space_group_IT_number 122
_space_group_name_Hall 'I -4 2bw'
loop_
_atom_site_label
_atom_site_fract_x
_atom_site_fract_y
_atom_site_fract_z
La1 0.0000 0.0000 0.0000
Ge1 0.2316 0.2500 0.6250
Pb1 0.0000 0.0000 0.5000
# E = -18.5 eV/f.u.
# Energy of formation = -0.168 eV/atom
# M_tot = 0.0 μB/f.u.

=====

[11]
# La7Ge2Pb2 PBE-GGA relaxed
data_La7Ge2Pb2
_chemical_formula_sum 'La14 Ge4 Pb4'
_cell_length_a 8.9685
_cell_length_b 11.7966
_cell_length_c 7.1175
_cell_angle_alpha 90.00
_cell_angle_beta 90.00
_cell_angle_gamma 90.00
_space_group_name_H-M_alt 'C m m m'
_space_group_IT_number 65
_space_group_name_Hall '-C 2 2'
loop_
_atom_site_label
_atom_site_fract_x
_atom_site_fract_y
_atom_site_fract_z
La1 0.0000 0.0000 0.0000
La2 0.0000 0.5000 0.2385
La3 0.2500 0.2500 0.2795
Ge1 0.0000 0.2679 0.0000
Pb1 0.1774 0.0000 0.5000
# E = -55.9 eV/f.u.
# Energy of formation = -0.433 eV/atom
# M_tot = 0.0 μB/f.u.

=====

[12]
# LaGePb3 PBE-GGA relaxed
data_LaGePb3
_chemical_formula_sum 'La1 Ge1 Pb3'
_cell_length_a 5.5248
_cell_length_b 5.5248
_cell_length_c 5.5248
_cell_angle_alpha 90.00
_cell_angle_beta 90.00
_cell_angle_gamma 90.00
_space_group_name_H-M_alt 'P m -3 m'
_space_group_IT_number 221
_space_group_name_Hall '-P 4 2 3'
loop_
_atom_site_label
_atom_site_fract_x
_atom_site_fract_y
_atom_site_fract_z
La1 0.0000 0.0000 0.0000
Ge1 0.5000 0.5000 0.5000
Pb1 0.0000 0.5000 0.5000
# E = -19.7 eV/f.u.
# Energy of formation = 0.185 eV/atom
# M_tot = 0.0 μB/f.u.

=====

> M_tot of number 12 (LaGePb3)?

0.0 μB/f.u.

=====

> Among the records above, which one has the highest E?

LaGe2Pb